No. 1
Entry from Alexandria via LeMat-Bulk: AcNi3Sn4 after structural relaxation (PBE).

Lattice parameters (Å, degrees): 4.392 4.392 11.054 78.54 78.54 60.00
Fractional positions:
Ni 0.226 0.226 0.323
Ni 0.774 0.774 0.677
Ni 0.000 0.000 0.000
Ac 0.500 0.500 0.500
Sn 0.089 0.089 0.734
Sn 0.911 0.911 0.266
Sn 0.305 0.305 0.086
Sn 0.695 0.695 0.914

Calculated values
**ΔH_f (0 K)**: -0.264 eV/atom
**Fermi-level density of states**: 0.68 states/eV per atom

No. 2
Entry from Alexandria via LeMat-Bulk: LaAu3Cl after structural relaxation (PBE).

Lattice parameters (Å, degrees): 5.050 5.050 5.050 90.00 90.00 90.00
Fractional positions:
Cl 0.000 0.000 0.000
Au 0.000 0.500 0.000
Au 0.000 0.000 0.500
Au 0.500 0.000 0.000
La 0.500 0.500 0.500

Calculated values
**Formation energy from raw total energies**: 1.27 eV per formula unit
**Fermi-level density of states**: 0.56 states/eV per atom

No. 3
Entry from Alexandria via LeMat-Bulk: K2NbV after structural relaxation (PBE).

Lattice parameters (Å, degrees): 5.881 5.881 5.881 60.00 60.00 60.00
Last column: magnetic moment on the atom in μB.
Fractional positions:
Nb 0.500 0.500 0.500  3.02
K 0.250 0.250 0.250  0.06
K 0.750 0.750 0.750  0.06
V 0.000 0.000 0.000  3.15

Calculated values
**ΔH_f (0 K)**: 1.943 eV/atom
**Fermi-level density of states**: 2.47 states/eV per atom

No. 4
Entry from Alexandria via LeMat-Bulk: Na2MgScCd after structural relaxation (PBE).

Lattice parameters (Å, degrees): 5.964 5.552 5.964 90.00 90.00 90.00
Last column: magnetic moment on the atom in μB.
Fractional positions:
Sc 0.000 0.000 0.000  0.63
Na 0.000 0.000 0.500  0.01
Na 0.500 0.000 0.000  0.02
Mg 0.500 0.500 0.500  0.00
Cd 0.000 0.500 0.000  0.03

Calculated values
**ΔH_f (0 K)**: 0.808 eV/atom
**Fermi-level density of states**: 1.25 states/eV per atom

No. 5
Entry from Alexandria via LeMat-Bulk: Er4TeSe2 after structural relaxation (PBE).

Lattice parameters (Å, degrees): 7.113 7.113 7.827 90.00 90.00 109.87
Fractional positions:
Er 0.776 0.776 0.000
Er 0.224 0.224 0.000
Er 0.224 0.224 0.500
Er 0.776 0.776 0.500
Er 0.500 0.000 0.249
Er 0.000 0.500 0.251
Er 0.500 0.000 0.751
Er 0.000 0.500 0.749
Te 0.500 0.500 0.250
Te 0.500 0.500 0.750
Se 0.186 0.814 0.000
Se 0.814 0.186 0.000
Se 0.186 0.814 0.500
Se 0.814 0.186 0.500

Calculated values
**Formation energy from raw total energies**: -7.47 eV per formula unit
**Fermi-level density of states**: 0.81 states/eV per atom

No. 6
Entry from Alexandria via LeMat-Bulk: Mg3FePt after structural relaxation (PBE).

Lattice parameters (Å, degrees): 4.934 4.934 4.934 90.00 90.00 90.00
Last column: magnetic moment on the atom in μB.
Fractional positions:
Mg 0.000 0.500 0.000  -0.01
Mg 0.000 0.000 0.500  -0.02
Mg 0.500 0.000 0.000  0.00
Fe 0.500 0.500 0.500  3.20
Pt 0.000 0.000 0.000  0.00

Calculated values
**ΔH_f (0 K)**: 0.313 eV/atom
**Fermi-level density of states**: 2.08 states/eV per atom

no.,raw total energy (eV per atom)
1,-4.95
2,-3.07
3,-3.40
4,-1.49
5,-5.12
6,-3.54